Entry 1:
Compound: SrTaCr2
Source: Alexandria via LeMat-Bulk
Functional: GGA-PBE
Structure: optimized geometry

```
4
Lattice="3.034 0.000 0.000 0.000 3.034 0.000 0.000 0.000 8.524" Properties=species:S:1:pos:R:3 pbc="T T T"
Cr 0.000 0.000 0.211
Cr 1.517 1.517 1.446
Sr 0.000 0.000 4.102
Ta 1.517 1.517 7.027
```

Summary:
Its total magnetization is 1.41 Bohr magnetons per cell. As for the space group: P4mm, No. 99. Its raw total energy is -7.541 eV per atom. The volume comes out at 78.48 Å³/cell. For the energy of formation, the calculation gives 655 meV/atom.

---

Entry 2:
Compound: TlBr2
Source: Alexandria via LeMat-Bulk
Functional: GGA-PBE
Structure: optimized geometry

```
6
Lattice="2.196 -10.195 0.000 2.196 10.195 0.000 0.000 0.000 5.575" Properties=species:S:1:pos:R:3 pbc="T T T"
Tl 2.196 3.347 4.181
Tl 2.196 -3.347 1.394
Br 2.196 -4.050 4.181
Br 2.196 -8.688 4.181
Br 2.196 8.688 1.394
Br 2.196 4.050 1.394
```

Summary:
Its total magnetization is 0.00 Bohr magnetons per cell. As for the space group: Cmcm, No. 63. Its raw total energy is -2.421 eV per atom. For the formation energy from raw total energies, the calculation gives -517 meV/atom. The volume comes out at 249.65 Å³/cell.

---

Entry 3:
Compound: Nd8DyHo4
Source: Alexandria via LeMat-Bulk
Functional: GGA-PBE
Structure: optimized geometry

```
13
Lattice="6.414 0.000 -3.460 -4.140 5.997 0.000 1.459 1.008 10.380" Properties=species:S:1:pos:R:3 pbc="T T T"
Nd 0.957 5.088 1.773
Nd 2.776 1.917 5.146
Nd 2.585 1.784 1.300
Nd 6.323 1.951 4.045
Nd 1.149 5.221 5.619
Nd 4.066 5.221 4.045
Nd -0.333 1.784 2.874
Nd -2.590 5.054 2.874
Dy -1.340 3.503 5.190
Ho 0.000 0.000 0.000
Ho -2.070 2.999 0.000
Ho 1.137 2.999 -1.730
Ho 3.207 0.000 -1.730
```

Summary:
Its total magnetization is 0.00 Bohr magnetons per cell. As for the space group: R-3m, No. 166. Its raw total energy is -4.505 eV per atom. The volume comes out at 443.97 Å³/cell. For the energy of formation, the calculation gives 191 meV/atom.

---

Entry 4:
Compound: Si3BrF
Source: Alexandria via LeMat-Bulk
Functional: GGA-PBE
Structure: optimized geometry

```
5
Lattice="-1.797 -4.745 0.127 2.147 -0.934 -4.503 4.233 -1.541 2.338" Properties=species:S:1:pos:R:3 pbc="T T T"
Si 1.074 -0.467 -2.252
Si 2.117 -0.771 1.169
Si -0.899 -2.372 0.063
Br 0.000 0.000 0.000
F 2.292 -3.610 -1.019
```

Summary:
Its total magnetization is 0.00 Bohr magnetons per cell. As for the space group: Pm-3m, No. 221. Its raw total energy is -2.731 eV per atom. For the formation energy from raw total energies, the calculation gives 1231 meV/atom. The volume comes out at 130.75 Å³/cell.

---

Entry 5:
Compound: BeFe2Cl
Source: Alexandria via LeMat-Bulk
Functional: GGA-PBE
Structure: optimized geometry

```
4
Lattice="7.513 -0.017 -0.010 6.989 2.755 -0.010 6.989 1.320 2.419" Properties=species:S:1:pos:R:3 pbc="T T T"
Be 16.118 3.043 1.799
Fe 0.091 0.017 0.010
Fe 10.655 2.012 1.189
Cl 5.373 1.014 0.600
```

Summary:
Its total magnetization is 5.50 Bohr magnetons per cell. As for the space group: R-3m, No. 166. Its raw total energy is -5.284 eV per atom. For the formation energy from raw total energies, the calculation gives 341 meV/atom. The volume comes out at 50.56 Å³/cell.

---

Entry 6:
Compound: Zn5Tc
Source: Alexandria via LeMat-Bulk
Functional: GGA-PBE
Structure: optimized geometry

```
6
Lattice="2.437 -4.221 0.000 2.437 4.221 0.000 0.000 0.000 4.237" Properties=species:S:1:pos:R:3 pbc="T T T"
Zn 1.622 -2.810 0.000
Zn 1.629 0.000 0.000
Zn 1.622 2.810 0.000
Zn 2.437 -1.407 2.119
Zn 2.437 1.407 2.119
Tc 0.000 0.000 2.119
```

Summary:
Its total magnetization is 0.01 Bohr magnetons per cell. As for the space group: P-62m, No. 189. Its raw total energy is -2.682 eV per atom. The volume comes out at 87.15 Å³/cell. For the energy of formation, the calculation gives 107 meV/atom.

---

Entry 7:
Compound: La3In2Ga3O12
Source: Alexandria via LeMat-Bulk
Functional: GGA-PBE
Structure: optimized geometry

```
80
Lattice="11.326 0.000 0.000 -3.775 10.678 0.000 -3.775 -5.339 9.248" Properties=species:S:1:pos:R:3 pbc="T T T"
La 0.944 3.337 1.156
La 2.831 2.002 8.092
La 6.607 -0.667 3.468
La -0.944 0.667 3.468
La 0.944 7.341 1.156
La -2.831 6.006 5.780
La 4.719 4.672 5.780
La 2.831 -2.002 8.092
La 2.831 0.000 2.312
La 0.944 5.339 6.936
La -2.831 0.000 6.936
La 6.607 5.339 2.312
In 0.000 0.000 0.000
In 3.775 -2.670 4.624
In -3.775 2.670 4.624
In 5.663 0.000 0.000
In 3.775 5.339 0.000
In 1.888 2.670 4.624
In -1.888 -2.670 4.624
In -1.888 5.339 0.000
Ga -0.944 4.672 3.468
Ga 4.719 0.667 5.780
Ga 4.719 8.676 1.156
Ga 0.944 -0.667 5.780
Ga 2.831 6.006 3.468
Ga -0.944 -3.337 8.092
Ga -4.719 3.337 8.092
Ga 8.494 2.002 1.156
Ga 4.719 2.670 2.312
Ga -0.944 2.670 6.936
Ga 6.607 -2.670 6.936
Ga -2.831 8.009 2.312
O 2.876 2.464 2.667
O 0.899 2.875 6.580
O 5.140 0.864 1.956
O 7.608 -1.869 5.549
O 0.058 3.071 3.468
O -0.989 8.214 2.667
O -1.365 4.475 7.291
O -3.833 7.208 3.698
O 3.718 2.268 5.780
O 4.764 -2.875 6.580
O -4.298 -1.459 8.322
O -0.523 5.267 1.726
O 0.523 -0.864 1.956
O 8.074 6.798 0.926
O 4.298 0.072 7.521
O 3.252 6.203 7.291
O 2.876 9.087 1.156
O -1.945 1.869 5.549
O 0.899 -3.747 8.092
O 5.720 3.470 3.698
O 8.915 -1.407 2.898
O -1.364 1.459 8.322
O -5.140 6.746 6.350
O 5.140 3.880 0.926
O 1.365 0.543 4.394
O 1.830 7.607 3.468
O 2.411 4.796 4.854
O 1.945 -2.268 5.780
O -4.298 1.531 8.447
O -0.989 1.592 1.156
O 8.074 3.808 0.801
O 4.764 3.747 8.092
O 0.058 9.476 0.230
O 8.074 1.407 2.898
O 3.718 -4.137 9.017
O -4.298 3.932 6.350
O -0.899 -0.873 5.424
O 2.411 5.411 1.726
O 4.674 6.212 3.823
O 1.364 -0.072 7.521
O -1.364 -1.531 8.447
O 5.140 6.870 0.801
O 1.830 1.202 0.230
O 1.945 4.137 9.017
O 6.562 0.873 5.424
O -2.787 4.466 3.823
O 4.298 -0.543 4.394
O -0.523 5.883 4.854
```

Summary:
Its total magnetization is 0.00 Bohr magnetons per cell. As for the space group: Ia-3d, No. 230. Its raw total energy is -6.897 eV per atom. For the formation energy from raw total energies, the calculation gives -2455 meV/atom. The volume comes out at 1118.40 Å³/cell.

---

Entry 8:
Compound: La4PBrCl2
Source: Alexandria via LeMat-Bulk
Functional: GGA-PBE
Structure: optimized geometry

```
8
Lattice="4.231 0.000 0.000 0.000 7.513 0.198 0.000 -2.555 6.666" Properties=species:S:1:pos:R:3 pbc="T T T"
La 2.116 1.402 1.758
La 2.116 3.556 5.106
La 0.000 0.115 5.110
La 0.000 4.843 1.754
P 2.116 3.757 0.099
Br 0.000 0.000 0.000
Cl 2.116 -1.278 3.333
Cl 0.000 2.479 3.432
```

Summary:
Its total magnetization is 0.00 Bohr magnetons per cell. As for the space group: P2/m, No. 10. Its raw total energy is -5.364 eV per atom. For the formation energy from raw total energies, the calculation gives -1554 meV/atom. The volume comes out at 214.06 Å³/cell.

---

Entry 9:
Compound: KPu4Cl12
Source: Alexandria via LeMat-Bulk
Functional: GGA-PBE
Structure: optimized geometry

```
17
Lattice="8.570 0.000 -3.030 -4.285 7.422 -3.030 0.000 0.000 9.090" Properties=species:S:1:pos:R:3 pbc="T T T"
K 0.000 0.000 0.000
Pu -2.143 3.711 -1.515
Pu 4.285 0.000 -1.515
Pu 2.143 3.711 1.515
Pu 0.000 0.000 4.545
Cl 5.767 2.147 -2.383
Cl 0.458 3.502 -0.647
Cl 6.873 1.355 3.201
Cl 2.022 0.793 6.231
Cl -2.588 6.068 -0.171
Cl 3.828 3.920 3.677
Cl 3.261 1.355 0.647
Cl 1.024 6.068 2.383
Cl 2.263 6.629 -3.201
Cl 3.961 5.275 0.171
Cl 0.324 2.147 2.859
Cl -1.481 5.275 5.413
```

Summary:
Its total magnetization is 21.00 Bohr magnetons per cell. As for the space group: Im-3, No. 204. Its raw total energy is -6.662 eV per atom. For the formation energy from raw total energies, the calculation gives -1922 meV/atom. The volume comes out at 578.22 Å³/cell.

---

Entry 10:
Compound: BaSr3Pd
Source: Alexandria via LeMat-Bulk
Functional: GGA-PBE
Structure: optimized geometry

```
20
Lattice="15.561 0.000 0.322 6.348 8.308 -3.468 -6.348 8.308 3.468" Properties=species:S:1:pos:R:3 pbc="T T T"
Sr 6.067 5.199 0.552
Sr 1.714 13.508 -0.391
Sr 9.494 11.418 -0.230
Sr 13.847 3.109 0.713
Sr 10.679 9.083 2.797
Sr 6.315 9.083 1.154
Sr 4.882 7.534 -2.475
Sr 9.246 7.534 -0.832
Sr 9.749 15.522 0.213
Sr 13.593 7.213 0.270
Sr 5.812 1.095 0.109
Sr 1.968 9.404 0.052
Ba 1.849 4.931 -0.120
Ba 5.931 13.240 0.281
Ba 13.712 11.686 0.442
Ba 9.630 3.377 0.041
Pd 8.497 6.574 1.975
Pd 7.064 10.043 -1.653
Pd 14.845 5.048 -1.492
Pd 0.716 11.569 1.814
```

Summary:
Its total magnetization is 0.00 Bohr magnetons per cell. As for the space group: C2/c, No. 15. Its raw total energy is -2.692 eV per atom. The volume comes out at 930.62 Å³/cell. For the energy of formation, the calculation gives -259 meV/atom.

---

Entry 11:
Compound: Pm2PuPa3As6
Source: Alexandria via LeMat-Bulk
Functional: GGA-PBE
Structure: optimized geometry

```
12
Lattice="-0.127 3.685 1.897 -8.248 -0.569 0.553 2.912 -5.688 6.713" Properties=species:S:1:pos:R:3 pbc="T T T"
Pm -3.657 -1.102 6.429
Pm -1.805 -1.469 2.733
Pu -0.063 1.843 0.948
Pa -4.187 1.558 1.225
Pa 0.474 -0.813 6.143
Pa -5.936 -1.759 3.020
As -5.714 -3.078 5.597
As -4.002 0.243 3.791
As 0.252 0.506 3.566
As 0.691 -2.128 8.712
As -6.153 -0.444 0.451
As -1.461 -2.815 5.371
```

Summary:
Its total magnetization is 5.88 Bohr magnetons per cell. As for the space group: C2/m, No. 12. Its raw total energy is -7.902 eV per atom. The volume comes out at 302.19 Å³/cell. For the energy of formation, the calculation gives -1217 meV/atom.

---

Entry 12:
Compound: TlCrTc2
Source: Alexandria via LeMat-Bulk
Functional: GGA-PBE
Structure: optimized geometry

```
4
Lattice="-3.057 -2.336 -0.587 0.822 -0.380 -2.768 3.988 -4.913 -1.218" Properties=species:S:1:pos:R:3 pbc="T T T"
Cr 2.247 -5.381 -3.185
Tc 3.975 -4.891 -1.232
Tc -0.492 -2.251 -1.381
Tl 2.417 -2.664 -1.987
```

Summary:
Its total magnetization is 0.38 Bohr magnetons per cell. As for the space group: Pm, No. 6. Its raw total energy is -7.708 eV per atom. The volume comes out at 65.08 Å³/cell. For the energy of formation, the calculation gives 472 meV/atom.